A plane-wave DFT calculation with PBE was carried out for a relaxed structure of KHBr2.

Computed properties:
Size of the total moment, μB per formula unit: 1.8
Excess energy over the best structure of this formula in the dataset, meV per atom: 901
Volume, Å³/cell: 115.7

abc: 5.4692 5.4692 5.4692
angles: 60.00 60.00 60.00
Last column: nearest neighbours and their distance in Å.
Element x y z (fractional)
H: 0.0000 0.0000 0.0000  8 Br 3.35
K: 0.5000 0.5000 0.5000  8 Br 3.35
Br: 0.2500 0.2500 0.2500  4 H 3.35, 4 K 3.35
Br: 0.7500 0.7500 0.7500  4 H 3.35, 4 K 3.35

=====

A plane-wave DFT calculation with PBE was carried out for a relaxed structure of K6HBr5.

Computed properties:
Size of the total moment, μB per formula unit: 0.1
Total DFT energy (no corrections), eV/cell: -36.004
Volume, Å³/cell: 425.8

abc: 8.0422 8.0552 8.0541
angles: 60.00 80.37 70.46
Last column: nearest neighbours and their distance in Å.
Element x y z (fractional)
K: 0.7591 0.0805 0.3158  1 H 3.13, 5 Br 3.27-3.42
K: 0.2409 0.6037 0.3158  1 H 3.13, 5 Br 3.27-3.42
K: 0.2384 0.2340 0.0000  1 H 3.11, 5 Br 3.30-3.47
K: 0.7616 0.7660 0.0000  1 H 3.11, 5 Br 3.30-3.47
K: 0.7591 0.3963 0.6842  1 H 3.13, 5 Br 3.27-3.42
K: 0.2409 0.9195 0.6842  1 H 3.13, 5 Br 3.27-3.42
H: 0.0000 0.0000 0.0000  6 K 3.11-3.13
Br: 0.5000 0.1691 0.6618  6 K 3.28-3.42
Br: 0.0000 0.3335 0.3331  6 K 3.30-3.31
Br: 0.5000 0.5000 0.0000  6 K 3.27-3.47
Br: 0.0000 0.6665 0.6669  6 K 3.30-3.31
Br: 0.5000 0.8309 0.3382  6 K 3.28-3.42

=====

A plane-wave DFT calculation with PBE was carried out for a relaxed structure of KHBr.

Computed properties:
Size of the total moment, μB per formula unit: 0.0
Excess energy over the best structure of this formula in the dataset, meV per atom: 0
Volume, Å³/cell: 181.0

abc: 6.0403 5.4246 6.5986
angles: 90.30 90.34 56.85
Last column: nearest neighbours and their distance in Å.
Element x y z (fractional)
K: 0.7363 0.7401 0.4032  4 H 3.23-3.60, 5 Br 3.27-3.31
K: 0.1040 0.0153 0.9075  4 H 3.23-3.60, 5 Br 3.27-3.31
H: 0.4548 0.3163 0.1170  1 H 0.76
H: 0.3855 0.4392 0.1940  1 H 0.76
Br: 0.0986 0.0204 0.4098  1 H 3.00, 5 K 3.27-3.31
Br: 0.7416 0.7350 0.9009  1 H 3.00, 5 K 3.27-3.31

=====

A plane-wave DFT calculation with PBE was carried out for a relaxed structure of K2H6Br.

Computed properties:
Size of the total moment, μB per formula unit: 0.0
Excess energy over the best structure of this formula in the dataset, meV per atom: 0
Volume, Å³/cell: 172.6

abc: 7.2939 8.5783 8.5783
angles: 46.14 34.57 34.57
Last column: nearest neighbours and their distance in Å.
Element x y z (fractional)
K: 0.0936 0.3951 0.3951  4 H 2.88-3.11
K: 0.4627 0.9051 0.9051  8 H 2.78-3.04
H: 0.4044 0.7769 0.3714  1 H 0.77
H: 0.9824 0.2055 0.3171  1 H 0.75
H: 0.9824 0.3171 0.2055  1 H 0.75
H: 0.3197 0.3966 0.7357  1 H 0.77
H: 0.3197 0.7357 0.3966  1 H 0.77
H: 0.4044 0.3714 0.7769  1 H 0.77
Br: 0.0308 0.8968 0.8968  4 H 3.13-3.22, 3 K 3.27-3.39

=====

A plane-wave DFT calculation with PBE was carried out for a relaxed structure of K4HBr2.

Computed properties:
Size of the total moment, μB per formula unit: 0.0
Total DFT energy (no corrections), eV/cell: -17.663
Volume, Å³/cell: 258.9

abc: 5.4132 5.4132 9.6288
angles: 73.67 73.67 90.00
Last column: nearest neighbours and their distance in Å.
Element x y z (fractional)
H: 0.0000 0.0000 0.0000  4 K 2.71
K: 0.1856 0.1856 0.6287  1 H 3.28, 1 Br 3.45
K: 0.8144 0.8144 0.3713  1 H 3.28, 1 Br 3.45
K: 0.0000 0.5000 0.0000  2 H 2.71
K: 0.5000 0.0000 0.0000  2 H 2.71
Br: 0.3808 0.3808 0.2383  5 K 3.43-3.45
Br: 0.6192 0.6192 0.7617  5 K 3.43-3.45

=====

A plane-wave DFT calculation with PBE was carried out for a relaxed structure of K4HBr3.

Computed properties:
Size of the total moment, μB per formula unit: 0.0
Total DFT energy (no corrections), eV/cell: -23.455
Volume, Å³/cell: 276.1

abc: 4.6049 7.9706 7.9706
angles: 109.29 90.00 90.00
Last column: nearest neighbours and their distance in Å.
Element x y z (fractional)
K: 0.0000 0.2341 0.2341  2 H 3.16, 4 Br 3.25-3.36
K: 0.5000 0.7618 0.2382  1 H 3.10, 5 Br 3.26-3.40
K: 0.0000 0.7659 0.7659  2 H 3.16, 4 Br 3.25-3.36
K: 0.5000 0.2382 0.7618  1 H 3.10, 5 Br 3.26-3.40
H: 0.5000 0.0000 0.0000  6 K 3.10-3.16
Br: 0.0000 0.0000 0.5000  6 K 3.25-3.26
Br: 0.5000 0.5000 0.5000  6 K 3.36-3.40
Br: 0.0000 0.5000 0.0000  6 K 3.25-3.26

=====

A plane-wave DFT calculation with PBE was carried out for a relaxed structure of K2H3Br.

Computed properties:
Size of the total moment, μB per formula unit: 0.0
Total DFT energy (no corrections), eV/cell: -34.604
Volume, Å³/cell: 300.0

abc: 6.5443 6.5443 8.4669
angles: 113.71 113.71 88.48
Last column: nearest neighbours and their distance in Å.
Element x y z (fractional)
K: 0.1946 0.3512 0.2276  4 H 2.58-2.81
K: 0.6488 0.8054 0.2724  4 H 2.58-2.81
K: 0.8054 0.6488 0.7724  4 H 2.58-2.81
K: 0.3512 0.1946 0.7276  4 H 2.58-2.81
H: 0.6652 0.4840 0.3988  1 H 1.04
H: 0.5160 0.3348 0.1012  1 H 1.04
H: 0.3348 0.5160 0.6012  1 H 1.04
H: 0.4840 0.6652 0.8988  1 H 1.04
H: 0.5961 0.4039 0.2500  2 H 1.04
H: 0.4039 0.5961 0.7500  2 H 1.04
Br: 0.1344 0.8656 0.2500  6 K 3.30-3.40
Br: 0.8656 0.1344 0.7500  6 K 3.30-3.40

=====

A plane-wave DFT calculation with PBE was carried out for a relaxed structure of K3H4Br4.

Computed properties:
Size of the total moment, μB per formula unit: 1.0
Total DFT energy (no corrections), eV/cell: -28.262
Volume, Å³/cell: 312.4

abc: 5.4442 7.2369 9.4439
angles: 112.53 112.64 90.00
Last column: nearest neighbours and their distance in Å.
Element x y z (fractional)
K: 0.1668 0.1935 0.3870  2 H 3.11, 2 Br 3.20
K: 0.8332 0.8065 0.6130  2 H 3.11, 2 Br 3.20
K: 0.0000 0.5000 0.0000  4 H 2.89, 2 Br 3.20
H: 0.6229 0.1272 0.8498  1 Br 1.71
H: 0.3771 0.2774 0.1502  1 Br 1.71
H: 0.3771 0.8728 0.1502  1 Br 1.71
H: 0.6229 0.7226 0.8498  1 Br 1.71
Br: 0.1913 0.7003 0.4006  3 K 3.20, 2 H 3.50
Br: 0.8087 0.2997 0.5994  3 K 3.20, 2 H 3.50
Br: 0.5000 0.7755 0.0000  2 H 1.71
Br: 0.5000 0.2245 0.0000  2 H 1.71

=====

A plane-wave DFT calculation with PBE was carried out for a relaxed structure of K2H6Br.

Computed properties:
Size of the total moment, μB per formula unit: 0.0
Excess energy over the best structure of this formula in the dataset, meV per atom: 934
Volume, Å³/cell: 129.9

abc: 5.6847 5.6847 5.6847
angles: 60.00 60.00 60.00
Last column: nearest neighbours and their distance in Å.
Element x y z (fractional)
H: 0.2439 0.7561 0.2439  1 Br 1.96
H: 0.7561 0.2439 0.2439  1 Br 1.96
H: 0.2439 0.7561 0.7561  1 Br 1.96
H: 0.7561 0.2439 0.7561  1 Br 1.96
H: 0.7561 0.7561 0.2439  1 Br 1.96
H: 0.2439 0.2439 0.7561  1 Br 1.96
K: 0.7500 0.7500 0.7500  12 H 2.84
K: 0.2500 0.2500 0.2500  12 H 2.84
Br: 0.0000 0.0000 0.0000  6 H 1.96

=====

A plane-wave DFT calculation with PBE was carried out for a relaxed structure of KHBr.

Computed properties:
Size of the total moment, μB per formula unit: 0.0
Excess energy over the best structure of this formula in the dataset, meV per atom: 20
Volume, Å³/cell: 156.3

abc: 4.1703 4.6425 9.0756
angles: 90.01 62.82 90.00
Last column: nearest neighbours and their distance in Å.
Element x y z (fractional)
K: 0.2640 0.5304 0.8989  4 H 2.76-2.77
K: 0.7886 0.0302 0.3788  2 H 2.76-2.77
H: 0.5425 0.0303 0.7192  1 H 0.76
H: 0.3628 0.0303 0.7176  1 H 0.76
Br: 0.6073 0.0305 0.0573  2 H 3.20-3.25, 6 K 3.33-3.37
Br: 0.1197 0.5303 0.5487  4 H 3.19, 6 K 3.41-3.53

=====

A plane-wave DFT calculation with PBE was carried out for a relaxed structure of K3H2Br4.

Computed properties:
Size of the total moment, μB per formula unit: 1.0
Total DFT energy (no corrections), eV/cell: -49.425
Volume, Å³/cell: 591.1

abc: 8.3521 10.2663 8.6630
angles: 126.34 82.82 90.00
Last column: nearest neighbours and their distance in Å.
Element x y z (fractional)
K: 0.1996 0.6884 0.6257  2 H 3.23-3.46, 5 Br 3.25-3.45
K: 0.3004 0.0627 0.3743  2 H 3.23-3.46, 5 Br 3.25-3.45
K: 0.8004 0.3116 0.3743  2 H 3.23-3.46, 5 Br 3.25-3.45
K: 0.6996 0.9373 0.6257  2 H 3.23-3.46, 5 Br 3.25-3.45
K: 0.7500 0.5700 0.0000  2 H 3.17, 4 Br 3.26-3.30
K: 0.2500 0.4300 0.0000  2 H 3.17, 4 Br 3.26-3.30
H: 0.4469 0.3930 0.2634  1 Br 1.64
H: 0.0531 0.1296 0.7366  1 Br 1.64
H: 0.5531 0.6070 0.7366  1 Br 1.64
H: 0.9469 0.8704 0.2634  1 Br 1.64
Br: 0.5252 0.8059 0.8753  1 H 1.64
Br: 0.9748 0.9306 0.1247  1 H 1.64
Br: 0.4748 0.1941 0.1247  1 H 1.64
Br: 0.0252 0.0694 0.8753  1 H 1.64
Br: 0.9285 0.5894 0.3315  5 K 3.25-3.32, 1 H 3.27
Br: 0.5715 0.2578 0.6685  5 K 3.25-3.32, 1 H 3.27
Br: 0.0715 0.4106 0.6685  5 K 3.25-3.32, 1 H 3.27
Br: 0.4285 0.7422 0.3315  5 K 3.25-3.32, 1 H 3.27

=====

A plane-wave DFT calculation with PBE was carried out for a relaxed structure of K4H3Br.

Computed properties:
Size of the total moment, μB per formula unit: 0.0
Total DFT energy (no corrections), eV/cell: -20.460
Volume, Å³/cell: 210.2

abc: 4.0968 4.0968 14.4618
angles: 90.00 90.00 120.00
Last column: nearest neighbours and their distance in Å.
Element x y z (fractional)
K: 0.3333 0.6667 0.8489  3 H 2.89, 3 Br 3.22
K: 0.3333 0.6667 0.3827  6 H 2.90-2.91
K: 0.6667 0.3333 0.1511  3 H 2.89, 3 Br 3.22
K: 0.6667 0.3333 0.6173  6 H 2.90-2.91
H: 0.0000 0.0000 0.5000  6 K 2.91
H: 0.0000 0.0000 0.2664  6 K 2.89-2.90
H: 0.0000 0.0000 0.7336  6 K 2.89-2.90
Br: 0.0000 0.0000 0.0000  6 K 3.22